[1]
DFT (PBE) results for a relaxed structure of KZrS2.

As for the uncorrected formation energy: -440 meV/atom. The density of states at the Fermi level comes out at 9.19 states/eV per cell. The value obtained for the total energy is -59.0 eV/cell.

Geometry as CIF:
```
data_KZrS2
_chemical_formula_sum 'K3 Zr3 S6'
_space_group_name_H-M_alt 'R -3 m'
_space_group_IT_number 166
_space_group_name_Hall '-R 3 2"'
_cell_length_a 4.1745
_cell_length_b 4.1745
_cell_length_c 26.3479
_cell_angle_alpha 90.00
_cell_angle_beta 90.00
_cell_angle_gamma 120.00
loop_
_atom_site_label
_atom_site_type_symbol
_atom_site_fract_x
_atom_site_fract_y
_atom_site_fract_z
K1 K 0.0000 0.0000 0.0000
Zr1 Zr 0.0000 0.0000 0.5000
S1 S 0.0000 0.0000 0.4114
```

=====

[2]
DFT (PBE) results for a relaxed structure of K2Zr3S6.

As for the uncorrected formation energy: -1572 meV/atom. The density of states at the Fermi level comes out at 11.84 states/eV per cell. The value obtained for the total energy is -139.8 eV/cell.

Geometry as CIF:
```
data_K2Zr3S6
_chemical_formula_sum 'K4 Zr6 S12'
_space_group_name_H-M_alt 'C 1 2/m 1'
_space_group_IT_number 12
_cell_length_a 6.393
_cell_length_b 11.073
_cell_length_c 7.966
_cell_angle_alpha 90.00
_cell_angle_beta 105.52
_cell_angle_gamma 90.00
loop_
_space_group_symop_operation_xyz
'x,y,z'
'-x,-y,-z'
'-x,y,-z'
'x,-y,z'
'x+1/2,y+1/2,z'
'-x+1/2,-y+1/2,-z'
'-x+1/2,y+1/2,-z'
'x+1/2,-y+1/2,z'
loop_
_atom_site_label
_atom_site_type_symbol
_atom_site_fract_x
_atom_site_fract_y
_atom_site_fract_z
K1 K 0.000 0.167 0.000
Zr1 Zr 0.000 0.000 0.500
Zr2 Zr 0.000 0.333 0.500
S1 S 0.231 0.500 0.698
S2 S 0.233 0.166 0.697
```

=====

[3]
DFT (PBE) results for a relaxed structure of KZrS2.

As for the uncorrected formation energy: -1493 meV/atom. The density of states at the Fermi level comes out at 8.98 states/eV per cell. The value obtained for the total energy is -71.6 eV/cell.

Geometry as CIF:
```
data_KZrS2
_chemical_formula_sum 'K3 Zr3 S6'
_space_group_name_H-M_alt 'R -3 m'
_space_group_IT_number 166
_space_group_name_Hall '-R 3 2"'
_cell_length_a 3.7661
_cell_length_b 3.7661
_cell_length_c 22.3562
_cell_angle_alpha 90.00
_cell_angle_beta 90.00
_cell_angle_gamma 120.00
loop_
_atom_site_label
_atom_site_type_symbol
_atom_site_fract_x
_atom_site_fract_y
_atom_site_fract_z
K1 K 0.0000 0.0000 0.0000
Zr1 Zr 0.0000 0.0000 0.5000
S1 S 0.0000 0.0000 0.2337
```

=====

[4]
DFT (PBE) results for a relaxed structure of KZrS2.

As for the uncorrected formation energy: -1254 meV/atom. The density of states at the Fermi level comes out at 7.06 states/eV per cell. The value obtained for the total energy is -68.7 eV/cell.

Geometry as CIF:
```
data_KZrS2
_chemical_formula_sum 'K3 Zr3 S6'
_space_group_name_H-M_alt 'R -3 m'
_space_group_IT_number 166
_space_group_name_Hall '-R 3 2"'
_cell_length_a 3.7417
_cell_length_b 3.7417
_cell_length_c 27.1275
_cell_angle_alpha 90.00
_cell_angle_beta 90.00
_cell_angle_gamma 120.00
loop_
_atom_site_label
_atom_site_type_symbol
_atom_site_fract_x
_atom_site_fract_y
_atom_site_fract_z
K1 K 0.0000 0.0000 0.0000
Zr1 Zr 0.0000 0.0000 0.5000
S1 S 0.0000 0.0000 0.1117
```

=====

[5]
DFT (PBE) results for a relaxed structure of KZr3S.

As for the uncorrected formation energy: 44 meV/atom. The density of states at the Fermi level comes out at 3.61 states/eV per cell. The value obtained for the total energy is -30.6 eV/cell.

Geometry as CIF:
```
data_KZr3S
_chemical_formula_sum 'K1 Zr3 S1'
_space_group_name_H-M_alt 'P m -3 m'
_space_group_IT_number 221
_space_group_name_Hall '-P 4 2 3'
_cell_length_a 5.022
_cell_length_b 5.022
_cell_length_c 5.022
_cell_angle_alpha 90.00
_cell_angle_beta 90.00
_cell_angle_gamma 90.00
loop_
_atom_site_label
_atom_site_type_symbol
_atom_site_fract_x
_atom_site_fract_y
_atom_site_fract_z
K1 K 0.000 0.000 0.000
Zr1 Zr 0.000 0.500 0.500
S1 S 0.500 0.500 0.500
```

=====

[6]
DFT (PBE) results for a relaxed structure of K3Sb4.

As for the uncorrected formation energy: 68 meV/atom. The density of states at the Fermi level comes out at 1.36 states/eV per cell. The value obtained for the total energy is -19.3 eV/cell.

Geometry as CIF:
```
data_K3Sb4
_chemical_formula_sum 'K3 Sb4'
_space_group_name_H-M_alt 'P 6/m m m'
_space_group_IT_number 191
_space_group_name_Hall '-P 6 2'
_cell_length_a 6.7635
_cell_length_b 6.7635
_cell_length_c 6.0892
_cell_angle_alpha 90.00
_cell_angle_beta 90.00
_cell_angle_gamma 120.00
loop_
_atom_site_label
_atom_site_type_symbol
_atom_site_fract_x
_atom_site_fract_y
_atom_site_fract_z
K1 K 0.0000 0.5000 0.0000
Sb1 Sb 0.0000 0.0000 0.2252
Sb2 Sb 0.3333 0.6667 0.5000
```